(1)
# GGA-PBE PmSmPd2, optimized geometry
data_PmSmPd2
_cell_length_a 4.604
_cell_length_b 3.867
_cell_length_c 10.791
_cell_angle_alpha 90.00
_cell_angle_beta 90.00
_cell_angle_gamma 90.00
_symmetry_space_group_name_H-M 'A m m 2'
_symmetry_Int_Tables_number 38
loop_
_symmetry_equiv_pos_as_xyz
'x,y,z'
'-x,-y,z'
'-x,y,z'
'x,-y,z'
'x,y+1/2,z+1/2'
'-x,-y+1/2,z+1/2'
'-x,y+1/2,z+1/2'
'x,-y+1/2,z+1/2'
loop_
_atom_site_label
_atom_site_type_symbol
_atom_site_fract_x
_atom_site_fract_y
_atom_site_fract_z
_atom_site_occupancy
Pm1 Pm 0.000 0.000 0.000 1
Sm1 Sm 0.500 0.000 0.274 1
Pd1 Pd 0.000 0.000 0.723 1
Pd2 Pd 0.500 0.000 0.552 1
# **Total moment**: 0.0 μB/f.u.
# **Energy of formation**: -839 meV per atom
# **Total DFT energy (no corrections)**: -5.8030 eV per atom
# **Volume**: 24.01 Å³ per atom

=====

(2)
# GGA-PBE Y4CuOs, optimized geometry
data_Y4CuOs
_cell_length_a 8.388
_cell_length_b 8.388
_cell_length_c 8.388
_cell_angle_alpha 90.00
_cell_angle_beta 90.00
_cell_angle_gamma 90.00
_symmetry_space_group_name_H-M 'F -4 3 m'
_symmetry_Int_Tables_number 216
_symmetry_space_group_name_Hall 'F -4 2 3'
loop_
_atom_site_label
_atom_site_type_symbol
_atom_site_fract_x
_atom_site_fract_y
_atom_site_fract_z
_atom_site_occupancy
Y1 Y 0.124 0.124 0.376 1
Cu1 Cu 0.000 0.000 0.000 1
Os1 Os 0.250 0.250 0.750 1
# **Total moment**: 0.1 μB/f.u.
# **Energy of formation**: 994 meV per atom
# **Total DFT energy (no corrections)**: -5.8696 eV per atom
# **Volume**: 24.59 Å³ per atom

=====

(3)
# GGA-PBE KNa2Sr2Sb2, optimized geometry
data_KNa2Sr2Sb2
_cell_length_a 5.4035
_cell_length_b 5.4035
_cell_length_c 30.5655
_cell_angle_alpha 90.00
_cell_angle_beta 90.00
_cell_angle_gamma 120.00
_symmetry_space_group_name_H-M 'R -3 m'
_symmetry_Int_Tables_number 166
_symmetry_space_group_name_Hall '-R 3 2"'
loop_
_atom_site_label
_atom_site_type_symbol
_atom_site_fract_x
_atom_site_fract_y
_atom_site_fract_z
_atom_site_occupancy
K1 K 0.0000 0.0000 0.0000 1
Na1 Na 0.0000 0.0000 0.4019 1
Sr1 Sr 0.0000 0.0000 0.1304 1
Sb1 Sb 0.0000 0.0000 0.2481 1
# **Total moment**: 0.7 μB/f.u.
# **Total DFT energy (no corrections)**: -2.7699 eV per atom
# **Volume**: 36.80 Å³ per atom

=====

(4)
# GGA-PBE GaAg2PbF8, optimized geometry
data_GaAg2PbF8
_cell_length_a 4.964
_cell_length_b 7.095
_cell_length_c 5.433
_cell_angle_alpha 90.00
_cell_angle_beta 94.75
_cell_angle_gamma 90.00
_symmetry_space_group_name_H-M 'P 1 2/m 1'
_symmetry_Int_Tables_number 10
loop_
_symmetry_equiv_pos_as_xyz
'x,y,z'
'-x,-y,-z'
'-x,y,-z'
'x,-y,z'
loop_
_atom_site_label
_atom_site_type_symbol
_atom_site_fract_x
_atom_site_fract_y
_atom_site_fract_z
_atom_site_occupancy
Ga1 Ga 0.000 0.000 0.000 1
Ag1 Ag 0.500 0.238 0.500 1
Pb1 Pb 0.000 0.500 0.000 1
F1 F 0.143 0.199 0.808 1
F2 F 0.321 0.000 0.242 1
F3 F 0.411 0.500 0.272 1
# **Total moment**: 1.1 μB/f.u.
# **Total DFT energy (no corrections)**: -4.1972 eV per atom
# **Volume**: 15.89 Å³ per atom

=====

(5)
# GGA-PBE NpU2NbP4, optimized geometry
data_NpU2NbP4
_cell_length_a 6.576
_cell_length_b 3.886
_cell_length_c 6.632
_cell_angle_alpha 90.00
_cell_angle_beta 109.97
_cell_angle_gamma 90.00
_symmetry_space_group_name_H-M 'P 1 2/m 1'
_symmetry_Int_Tables_number 10
loop_
_symmetry_equiv_pos_as_xyz
'x,y,z'
'-x,-y,-z'
'-x,y,-z'
'x,-y,z'
loop_
_atom_site_label
_atom_site_type_symbol
_atom_site_fract_x
_atom_site_fract_y
_atom_site_fract_z
_atom_site_occupancy
Np1 Np 0.000 0.000 0.000 1
U1 U 0.500 0.000 0.500 1
U2 U 0.500 0.500 0.000 1
Nb1 Nb 0.000 0.500 0.500 1
P1 P 0.236 0.000 0.735 1
P2 P 0.241 0.500 0.259 1
# **Total moment**: 7.0 μB/f.u.
# **Energy of formation**: -916 meV per atom
# **Total DFT energy (no corrections)**: -9.3191 eV per atom
# **Volume**: 19.91 Å³ per atom

=====

(6)
# GGA-PBE LiCu2Hg2, optimized geometry
data_LiCu2Hg2
_cell_length_a 3.540
_cell_length_b 3.540
_cell_length_c 14.276
_cell_angle_alpha 90.00
_cell_angle_beta 90.00
_cell_angle_gamma 90.00
_symmetry_space_group_name_H-M 'I 4/m m m'
_symmetry_Int_Tables_number 139
_symmetry_space_group_name_Hall '-I 4 2'
loop_
_atom_site_label
_atom_site_type_symbol
_atom_site_fract_x
_atom_site_fract_y
_atom_site_fract_z
_atom_site_occupancy
Li1 Li 0.000 0.000 0.000 1
Cu1 Cu 0.000 0.500 0.250 1
Hg1 Hg 0.000 0.000 0.397 1
# **Total moment**: 0.0 μB/f.u.
# **Energy of formation**: -3 meV per atom
# **Total DFT energy (no corrections)**: -2.1451 eV per atom
# **Volume**: 17.89 Å³ per atom

=====

(7)
# GGA-PBE La4Dy3Y, optimized geometry
data_La4Dy3Y
_cell_length_a 11.724
_cell_length_b 7.357
_cell_length_c 6.402
_cell_angle_alpha 90.00
_cell_angle_beta 90.00
_cell_angle_gamma 90.00
_symmetry_space_group_name_H-M 'P m n 21'
_symmetry_Int_Tables_number 31
loop_
_symmetry_equiv_pos_as_xyz
'x,y,z'
'-x+1/2,-y,z+1/2'
'-x,y,z'
'x+1/2,-y,z+1/2'
loop_
_atom_site_label
_atom_site_type_symbol
_atom_site_fract_x
_atom_site_fract_y
_atom_site_fract_z
_atom_site_occupancy
La1 La 0.000 0.124 0.000 1
La2 La 0.000 0.873 0.508 1
La3 La 0.247 0.128 0.330 1
Dy1 Dy 0.000 0.382 0.502 1
Dy2 Dy 0.249 0.379 0.833 1
Y1 Y 0.000 0.622 0.004 1
# **Total moment**: 0.0 μB/f.u.
# **Energy of formation**: 32 meV per atom
# **Total DFT energy (no corrections)**: -4.9653 eV per atom
# **Volume**: 34.51 Å³ per atom

=====

(8)
# GGA-PBE Pm2CdB2Rh5, optimized geometry
data_Pm2CdB2Rh5
_cell_length_a 9.810
_cell_length_b 9.810
_cell_length_c 3.243
_cell_angle_alpha 90.00
_cell_angle_beta 90.00
_cell_angle_gamma 90.00
_symmetry_space_group_name_H-M 'P 4/m b m'
_symmetry_Int_Tables_number 127
_symmetry_space_group_name_Hall '-P 4 2ab'
loop_
_atom_site_label
_atom_site_type_symbol
_atom_site_fract_x
_atom_site_fract_y
_atom_site_fract_z
_atom_site_occupancy
Pm1 Pm 0.177 0.323 0.000 1
Cd1 Cd 0.000 0.000 0.000 1
B1 B 0.121 0.621 0.000 1
Rh1 Rh 0.000 0.500 0.500 1
Rh2 Rh 0.070 0.770 0.500 1
# **Total moment**: 0.0 μB/f.u.
# **Energy of formation**: -631 meV per atom
# **Total DFT energy (no corrections)**: -6.6836 eV per atom
# **Volume**: 15.60 Å³ per atom

=====

(9)
# GGA-PBE YNpRu2, optimized geometry
data_YNpRu2
_cell_length_a 3.344
_cell_length_b 3.344
_cell_length_c 6.994
_cell_angle_alpha 90.00
_cell_angle_beta 90.00
_cell_angle_gamma 90.00
_symmetry_space_group_name_H-M 'P 4/m m m'
_symmetry_Int_Tables_number 123
_symmetry_space_group_name_Hall '-P 4 2'
loop_
_atom_site_label
_atom_site_type_symbol
_atom_site_fract_x
_atom_site_fract_y
_atom_site_fract_z
_atom_site_occupancy
Y1 Y 0.000 0.000 0.000 1
Np1 Np 0.000 0.000 0.500 1
Ru1 Ru 0.500 0.500 0.278 1
# **Total moment**: 2.7 μB/f.u.
# **Energy of formation**: -217 meV per atom
# **Total DFT energy (no corrections)**: -9.7058 eV per atom
# **Volume**: 19.56 Å³ per atom

=====

(10)
# GGA-PBE KAsOs2, optimized geometry
data_KAsOs2
_cell_length_a 2.758
_cell_length_b 5.761
_cell_length_c 10.503
_cell_angle_alpha 90.00
_cell_angle_beta 90.00
_cell_angle_gamma 90.00
_symmetry_space_group_name_H-M 'I m m 2'
_symmetry_Int_Tables_number 44
loop_
_symmetry_equiv_pos_as_xyz
'x,y,z'
'-x,-y,z'
'-x,y,z'
'x,-y,z'
'x+1/2,y+1/2,z+1/2'
'-x+1/2,-y+1/2,z+1/2'
'-x+1/2,y+1/2,z+1/2'
'x+1/2,-y+1/2,z+1/2'
loop_
_atom_site_label
_atom_site_type_symbol
_atom_site_fract_x
_atom_site_fract_y
_atom_site_fract_z
_atom_site_occupancy
K1 K 0.000 0.000 0.000 1
As1 As 0.000 0.500 0.221 1
Os1 Os 0.000 0.000 0.518 1
Os2 Os 0.000 0.500 0.820 1
# **Total moment**: 0.0 μB/f.u.
# **Energy of formation**: 963 meV per atom
# **Total DFT energy (no corrections)**: -6.0882 eV per atom
# **Volume**: 20.86 Å³ per atom

=====

(11)
# GGA-PBE Pu2URh, optimized geometry
data_Pu2URh
_cell_length_a 3.405
_cell_length_b 3.405
_cell_length_c 7.031
_cell_angle_alpha 90.00
_cell_angle_beta 90.00
_cell_angle_gamma 90.00
_symmetry_space_group_name_H-M 'P 4/m m m'
_symmetry_Int_Tables_number 123
_symmetry_space_group_name_Hall '-P 4 2'
loop_
_atom_site_label
_atom_site_type_symbol
_atom_site_fract_x
_atom_site_fract_y
_atom_site_fract_z
_atom_site_occupancy
Pu1 Pu 0.000 0.000 0.235 1
U1 U 0.500 0.500 0.500 1
Rh1 Rh 0.500 0.500 0.000 1
# **Total moment**: 10.0 μB/f.u.
# **Energy of formation**: -111 meV per atom
# **Total DFT energy (no corrections)**: -11.9368 eV per atom
# **Volume**: 20.38 Å³ per atom

=====

(12)
# GGA-PBE CsCr2AuSe, optimized geometry
data_CsCr2AuSe
_cell_length_a 4.995
_cell_length_b 4.995
_cell_length_c 7.147
_cell_angle_alpha 90.00
_cell_angle_beta 90.00
_cell_angle_gamma 90.00
_symmetry_space_group_name_H-M 'P 4/m m m'
_symmetry_Int_Tables_number 123
_symmetry_space_group_name_Hall '-P 4 2'
loop_
_atom_site_label
_atom_site_type_symbol
_atom_site_fract_x
_atom_site_fract_y
_atom_site_fract_z
_atom_site_occupancy
Cs1 Cs 0.000 0.000 0.000 1
Cr1 Cr 0.000 0.500 0.500 1
Au1 Au 0.500 0.500 0.000 1
Se1 Se 0.000 0.000 0.500 1
# **Total moment**: 9.9 μB/f.u.
# **Total DFT energy (no corrections)**: -4.9525 eV per atom
# **Volume**: 35.66 Å³ per atom

=====

(13)
# GGA-PBE Li2SmHg, optimized geometry
data_Li2SmHg
_cell_length_a 3.554
_cell_length_b 3.554
_cell_length_c 7.025
_cell_angle_alpha 90.00
_cell_angle_beta 90.00
_cell_angle_gamma 90.00
_symmetry_space_group_name_H-M 'P 4/m m m'
_symmetry_Int_Tables_number 123
_symmetry_space_group_name_Hall '-P 4 2'
loop_
_atom_site_label
_atom_site_type_symbol
_atom_site_fract_x
_atom_site_fract_y
_atom_site_fract_z
_atom_site_occupancy
Li1 Li 0.000 0.000 0.191 1
Sm1 Sm 0.500 0.500 0.500 1
Hg1 Hg 0.500 0.500 0.000 1
# **Total moment**: 0.2 μB/f.u.
# **Energy of formation**: -129 meV per atom
# **Total DFT energy (no corrections)**: -2.3415 eV per atom
# **Volume**: 22.18 Å³ per atom

=====

(14)
# GGA-PBE DyGe3Ir2, optimized geometry
data_DyGe3Ir2
_cell_length_a 15.709
_cell_length_b 4.043
_cell_length_c 7.384
_cell_angle_alpha 90.00
_cell_angle_beta 112.25
_cell_angle_gamma 90.00
_symmetry_space_group_name_H-M 'C 1 2/m 1'
_symmetry_Int_Tables_number 12
loop_
_symmetry_equiv_pos_as_xyz
'x,y,z'
'-x,-y,-z'
'-x,y,-z'
'x,-y,z'
'x+1/2,y+1/2,z'
'-x+1/2,-y+1/2,-z'
'-x+1/2,y+1/2,-z'
'x+1/2,-y+1/2,z'
loop_
_atom_site_label
_atom_site_type_symbol
_atom_site_fract_x
_atom_site_fract_y
_atom_site_fract_z
_atom_site_occupancy
Dy1 Dy 0.126 0.000 0.154 1
Ge1 Ge 0.045 0.000 0.673 1
Ge2 Ge 0.165 0.500 0.470 1
Ge3 Ge 0.182 0.500 0.902 1
Ir1 Ir 0.008 0.500 0.823 1
Ir2 Ir 0.212 0.000 0.712 1
# **Total moment**: 0.0 μB/f.u.
# **Energy of formation**: -534 meV per atom
# **Total DFT energy (no corrections)**: -6.5637 eV per atom
# **Volume**: 18.09 Å³ per atom